# 1
A relaxed PmNd6SmTm2 crystal. Source: Alexandria, functional PBE.

abc: 9.710 8.944 8.944
angles: 116.98 93.87 93.87
Positions (direct):
Nd1 0.881 0.296 0.514
Nd2 0.944 0.891 0.240
Nd3 0.056 0.109 0.760
Nd4 0.317 0.989 0.439
Nd5 0.381 0.514 0.296
Nd6 0.556 0.760 0.109
Nd7 0.619 0.486 0.704
Nd8 0.683 0.011 0.561
Nd9 0.817 0.439 0.989
Nd10 0.183 0.561 0.011
Nd11 0.444 0.240 0.891
Nd12 0.119 0.704 0.486
Tm1 0.451 0.801 0.705
Tm2 0.049 0.295 0.199
Tm3 0.951 0.705 0.801
Tm4 0.549 0.199 0.295
Pm1 0.750 0.592 0.408
Pm2 0.250 0.408 0.592
Sm1 0.250 0.968 0.032
Sm2 0.750 0.032 0.968

Properties
The value obtained for the total magnetic moment is 0.00 μB per formula unit. For the raw total energy, the calculation gives -4.5885 eV/atom. Its formation energy is 110 kJ/mol of formula units. The mass density comes out at 7.25 g cm⁻³.

---

# 2
A relaxed Pm6NdSmTm2 crystal. Source: Alexandria, functional PBE.

abc: 9.654 8.905 8.905
angles: 116.84 93.72 93.72
Positions (direct):
Pm1 0.682 0.013 0.560
Pm2 0.818 0.440 0.987
Pm3 0.444 0.240 0.891
Pm4 0.556 0.760 0.109
Pm5 0.618 0.484 0.705
Pm6 0.182 0.560 0.013
Pm7 0.318 0.987 0.440
Pm8 0.944 0.891 0.240
Pm9 0.882 0.295 0.516
Pm10 0.382 0.516 0.295
Pm11 0.118 0.705 0.484
Pm12 0.056 0.109 0.760
Tm1 0.549 0.199 0.295
Tm2 0.451 0.801 0.705
Tm3 0.951 0.705 0.801
Tm4 0.049 0.295 0.199
Nd1 0.250 0.408 0.592
Nd2 0.750 0.592 0.408
Sm1 0.250 0.967 0.033
Sm2 0.750 0.033 0.967

Properties
The value obtained for the total magnetic moment is 0.00 μB per formula unit. For the raw total energy, the calculation gives -4.5779 eV/atom. Its formation energy is 111 kJ/mol of formula units. The mass density comes out at 7.36 g cm⁻³.

---

# 3
A relaxed Pm3NdSm2Tm6 crystal. Source: Alexandria, functional PBE.

abc: 6.195 6.195 11.697
angles: 95.05 95.05 119.98
Positions (direct):
Tm1 0.250 0.250 0.750
Tm2 0.417 0.083 0.250
Tm3 0.750 0.750 0.250
Tm4 0.917 0.583 0.750
Tm5 0.583 0.917 0.750
Tm6 0.083 0.417 0.250
Pm1 0.167 0.833 0.500
Pm2 0.833 0.167 0.500
Pm3 0.500 0.500 0.500
Sm1 0.667 0.333 0.000
Sm2 0.333 0.667 0.000
Nd1 0.000 0.000 0.000

Properties
The value obtained for the total magnetic moment is 0.00 μB per formula unit. For the raw total energy, the calculation gives -4.5910 eV/atom. Its formation energy is 19 kJ/mol of formula units. The mass density comes out at 8.21 g cm⁻³.

---

# 4
A relaxed PmNd2SmTm4 crystal. Source: Alexandria, functional PBE.

abc: 9.507 9.507 11.833
angles: 128.49 128.49 88.29
Last column: magnetic moment on the atom in μB.
Positions (direct):
Nd1 0.000 0.000 0.500  0.14
Nd2 0.500 0.000 0.500  0.16
Nd3 0.500 0.000 0.000  0.16
Nd4 0.500 0.500 0.000  0.14
Tm1 0.750 0.251 0.500  0.18
Tm2 0.249 0.249 0.499  0.18
Tm3 0.749 0.749 0.999  0.18
Tm4 0.249 0.750 0.000  0.18
Tm5 0.251 0.251 0.001  0.18
Tm6 0.250 0.749 0.500  0.18
Tm7 0.751 0.751 0.501  0.18
Tm8 0.751 0.250 0.000  0.18
Sm1 0.000 0.500 0.500  0.15
Sm2 0.000 0.500 0.000  0.15
Pm1 0.000 0.000 0.000  0.16
Pm2 0.500 0.500 0.500  0.16

Properties
The value obtained for the total magnetic moment is 1.98 μB per formula unit. For the raw total energy, the calculation gives -4.1954 eV/atom. Its formation energy is 321 kJ/mol of formula units. The mass density comes out at 7.86 g cm⁻³.